## 1
Material: Sm2DyY5
Method: DFT, PBE-GGA
State: optimized geometry

The space group is Pbam (No. 55) and the conventional cell measures 7.167, 14.334 and 5.056 Å, with angles of 90.00, 90.00 and 90.00 degrees. The inequivalent atoms are Sm at (0.249, 0.125, 0.000), Dy at (0.000, 0.000, 0.500), Y at (0.000, 0.249, 0.500), Y at (0.000, 0.500, 0.500) and Y at (0.249, 0.875, 0.000).

## 2
Material: Sm2DyY5
Method: DFT, PBE-GGA
State: optimized geometry

The space group is C2 (No. 5) and the conventional cell measures 9.000, 19.805 and 6.361 Å, with angles of 90.00, 109.21 and 90.00 degrees. The inequivalent atoms are Sm at (0.110, 0.000, 0.300), Sm at (0.200, 0.825, 0.164), Dy at (0.000, 0.466, 0.500), Dy at (0.000, 0.568, 0.000), Y at (0.000, 0.141, 0.000), Y at (0.000, 0.848, 0.500), Y at (0.087, 0.294, 0.284), Y at (0.110, 0.702, 0.788), Y at (0.204, 0.150, 0.622) and Y at (0.214, 0.442, 0.132).

So which one wins? Going from most stable to least: 1, 2.

## 1
Material: Sm3DyY3
Method: DFT, PBE-GGA
State: optimized geometry

The space group is R3m (No. 160, hexagonal axes) and the conventional cell measures 9.9348, 9.9348 and 8.2966 Å, with angles of 90.00, 90.00 and 120.00 degrees. The inequivalent atoms are Sm at (0.0969, 0.5485, 0.0000), Dy at (0.0000, 0.0000, 0.0419) and Y at (0.0661, 0.5331, 0.4278).

## 2
Material: Sm3DyY3
Method: DFT, PBE-GGA
State: optimized geometry

The space group is R-3 (No. 148, hexagonal axes) and the conventional cell measures 6.2370, 6.2370 and 43.0582 Å, with angles of 90.00, 90.00 and 120.00 degrees. The inequivalent atoms are Sm at (0.0002, 0.3312, 0.1320), Dy at (0.0000, 0.0000, 0.3333) and Y at (0.9999, 0.3331, 0.2680).

So which one wins? Going from most stable to least: 2, 1.